Entry 1:
An optimized crystal structure of ScMo3Pd, computed with PBE.

## Properties
space-group type: Pm-3m (221)
E above lowest polymorph: 0 meV per atom
ΔH_f (0 K): 1567 meV/atom

Unit cell a=4.759 b=4.759 c=4.759 alpha=90.00 beta=90.00 gamma=90.00
Fractional positions:
1 Sc 0.000 0.000 0.000
2 Mo 0.000 0.500 0.500
3 Mo 0.500 0.000 0.500
4 Mo 0.500 0.500 0.000
5 Pd 0.500 0.500 0.500


Entry 2:
An optimized crystal structure of ScTaMo2Pd, computed with PBE.

## Properties
space-group type: P4/mmm (123)
ΔH_f (0 K): 1414 meV/atom

Unit cell a=4.817 b=4.817 c=4.564 alpha=90.00 beta=90.00 gamma=90.00
Fractional positions:
1 Sc 0.000 0.000 0.000
2 Ta 0.500 0.500 0.000
3 Mo 0.000 0.500 0.500
4 Mo 0.500 0.000 0.500
5 Pd 0.000 0.000 0.500


Entry 3:
An optimized crystal structure of ThScMoPd, computed with PBE.

## Properties
space-group type: F-43m (216)
ΔH_f (0 K): -246 meV/atom

Unit cell a=4.883 b=4.883 c=4.883 alpha=60.00 beta=60.00 gamma=60.00
Fractional positions:
1 Th 0.000 0.000 0.000
2 Sc 0.500 0.500 0.500
3 Mo 0.750 0.750 0.750
4 Pd 0.250 0.250 0.250


Entry 4:
An optimized crystal structure of Sc2TlMoPd, computed with PBE.

## Properties
space-group type: P4/mmm (123)
ΔH_f (0 K): 1235 meV/atom

Unit cell a=5.313 b=5.313 c=4.987 alpha=90.00 beta=90.00 gamma=90.00
Fractional positions:
1 Sc 0.000 0.500 0.000
2 Sc 0.500 0.000 0.000
3 Tl 0.000 0.000 0.000
4 Mo 0.500 0.500 0.500
5 Pd 0.000 0.000 0.500


Entry 5:
An optimized crystal structure of ZrScMoPd2, computed with PBE.

## Properties
space-group type: P4/mmm (123)
ΔH_f (0 K): 1017 meV/atom

Unit cell a=4.590 b=4.590 c=5.049 alpha=90.00 beta=90.00 gamma=90.00
Fractional positions:
1 Zr 0.000 0.000 0.000
2 Sc 0.000 0.000 0.500
3 Mo 0.500 0.500 0.000
4 Pd 0.000 0.500 0.500
5 Pd 0.500 0.000 0.500


Entry 6:
An optimized crystal structure of MoPdSe3, computed with PBE.

## Properties
space-group type: Pm-3m (221)
formation energy (no corrections): 0.4456 eV per atom
E above lowest polymorph: 635 meV per atom

Unit cell a=4.910 b=4.910 c=4.910 alpha=90.00 beta=90.00 gamma=90.00
Fractional positions:
1 Mo 0.000 0.000 0.000
2 Pd 0.500 0.500 0.500
3 Se 0.000 0.000 0.500
4 Se 0.000 0.500 0.000
5 Se 0.500 0.000 0.000


Which DOS at the Fermi energy belongs to each record? In order, 1.4071; 1.6104; 0.9333; 1.5267; 0.7755; 0.9524 states/eV per atom.